Compound: AgMo3
Source: Alexandria
Functional: PBE
Structure: optimized geometry

Values from the calculation:
Magnetic moment, μB per formula unit: 0.00
Electronic total energy, eV per atom: -8.46
SG: No. 10
Calculated formation energy, meV per atom: 372

a = 2.670 Å, b = 4.486 Å, c = 5.599 Å
α = 90.00°, β = 103.54°, γ = 90.00°
Atoms (fractional coordinates):
1 Ag 0.000 0.000 0.000
2 Mo 0.268 0.500 0.735
3 Mo 0.500 0.000 0.500
4 Mo 0.732 0.500 0.265